# 1
First-principles (GGA-PBE) data for SmDy4Pd4 after structural relaxation, as listed in the Alexandria database.

a b c (Å): 5.787 9.029 9.029
angles (deg): 90.00 90.00 90.00
Fractional positions:
Pd 0.909 0.714 0.126
Dy 0.587 0.906 0.676
Dy 0.087 0.176 0.594
Sm 0.000 0.000 0.000
Sm 0.500 0.500 0.500
Dy 0.913 0.406 0.176
Dy 0.587 0.094 0.324
Pd 0.091 0.874 0.714
Pd 0.591 0.786 0.374
Pd 0.409 0.374 0.214
Dy 0.413 0.324 0.906
Dy 0.913 0.594 0.824
Pd 0.591 0.214 0.626
Pd 0.091 0.126 0.286
Dy 0.413 0.676 0.094
Pd 0.909 0.286 0.874
Dy 0.087 0.824 0.406
Pd 0.409 0.626 0.786

Summary:
Fermi-level density of states: 7.6 states/eV/f.u.
magnetization: 0.0 μB/cell
space group: P4_2/n, No. 86
formation energy: -0.664 eV per atom
calculated density: 8.6 g/cm³

# 2
First-principles (GGA-PBE) data for CrCdBr2 after structural relaxation, as listed in the Alexandria database.

a b c (Å): 5.134 5.134 3.713
angles (deg): 90.00 90.00 89.85
Fractional positions:
Cr 0.000 0.500 0.500
Br 0.500 0.500 0.000
Br 0.000 0.000 0.000
Cd 0.500 0.000 0.500

Summary:
raw formation energy: 0.10 eV/atom
Fermi-level density of states: 3.1 states/eV/f.u.
magnetization: 4.7 μB/cell
space group: Cmmm, No. 65
calculated density: 5.5 g/cm³

# 3
First-principles (GGA-PBE) data for Cs2KNaTl after structural relaxation, as listed in the Alexandria database.

a b c (Å): 7.379 7.379 7.011
angles (deg): 90.00 90.00 90.00
Fractional positions:
Tl 0.000 0.000 0.000
Na 0.500 0.500 0.500
Cs 0.500 0.000 0.000
K 0.000 0.000 0.500
Cs 0.000 0.500 0.000

Summary:
Fermi-level density of states: 5.4 states/eV/f.u.
magnetization: 0.0 μB/cell
space group: P4/mmm, No. 123
formation energy: 0.115 eV per atom
calculated density: 2.3 g/cm³

# 4
First-principles (GGA-PBE) data for Cs2CdI6O after structural relaxation, as listed in the Alexandria database.

a b c (Å): 8.068 8.068 8.471
angles (deg): 61.56 61.56 90.00
Fractional positions:
I 0.717 0.717 0.000
Cd 0.000 0.000 0.000
I 0.717 0.283 0.000
I 0.781 0.781 0.439
I 0.219 0.219 0.561
Cs 0.250 0.750 0.500
O 0.500 0.500 0.000
Cs 0.750 0.250 0.500
I 0.283 0.283 0.000
I 0.283 0.717 0.000

Summary:
raw formation energy: -0.60 eV/atom
Fermi-level density of states: 0.0 states/eV/f.u.
magnetization: 0.0 μB/cell
space group: I4/mmm, No. 139
calculated density: 4.7 g/cm³

# 5
First-principles (GGA-PBE) data for ZnSb2TeI after structural relaxation, as listed in the Alexandria database.

a b c (Å): 5.906 5.906 5.852
angles (deg): 90.00 90.00 90.00
Fractional positions:
Zn 0.500 0.500 0.500
Sb 0.000 0.500 0.000
I 0.000 0.000 0.000
Sb 0.500 0.000 0.000
Te 0.000 0.000 0.500

Summary:
raw formation energy: 1.09 eV/atom
Fermi-level density of states: 5.8 states/eV/f.u.
magnetization: 1.1 μB/cell
space group: P4/mmm, No. 123
calculated density: 4.6 g/cm³

# 6
First-principles (GGA-PBE) data for CaBTe2W after structural relaxation, as listed in the Alexandria database.

a b c (Å): 5.482 4.185 5.482
angles (deg): 90.00 90.00 90.00
Fractional positions:
W 0.000 0.000 0.000
Te 0.000 0.000 0.500
Te 0.500 0.000 0.000
Ca 0.500 0.500 0.500
B 0.000 0.500 0.000

Summary:
raw formation energy: 0.23 eV/atom
Fermi-level density of states: 3.7 states/eV/f.u.
magnetization: 0.0 μB/cell
space group: P4/mmm, No. 123
calculated density: 6.5 g/cm³

# 7
First-principles (GGA-PBE) data for BaMg4Ga2Au after structural relaxation, as listed in the Alexandria database.

a b c (Å): 4.745 4.745 10.404
angles (deg): 76.82 76.82 60.00
Fractional positions:
Mg 0.412 0.412 0.763
Mg 0.864 0.864 0.409
Ga 0.253 0.253 0.242
Mg 0.136 0.136 0.591
Au 0.500 0.500 0.500
Ga 0.747 0.747 0.758
Mg 0.588 0.588 0.237
Ba 0.000 0.000 0.000

Summary:
Fermi-level density of states: 3.3 states/eV/f.u.
magnetization: 0.0 μB/cell
space group: R-3m, No. 166
formation energy: -0.293 eV per atom
calculated density: 4.8 g/cm³

# 8
First-principles (GGA-PBE) data for Na2ZrVSe4 after structural relaxation, as listed in the Alexandria database.

a b c (Å): 3.884 6.591 7.378
angles (deg): 107.75 90.00 90.00
Fractional positions:
Se 0.500 0.248 0.220
Se 0.500 0.752 0.780
Zr 0.000 0.000 0.000
Se 0.000 0.271 0.787
V 0.500 0.500 0.000
Na 0.000 0.500 0.500
Se 0.000 0.729 0.213
Na 0.500 0.000 0.500

Summary:
raw formation energy: -1.11 eV/atom
Fermi-level density of states: 4.4 states/eV/f.u.
magnetization: 2.8 μB/cell
space group: P2/m, No. 10
calculated density: 4.7 g/cm³

# 9
First-principles (GGA-PBE) data for Rb2BeGeI6 after structural relaxation, as listed in the Alexandria database.

a b c (Å): 8.137 8.137 8.118
angles (deg): 59.92 59.92 90.00
Fractional positions:
I 0.263 0.263 0.475
I 0.737 0.737 0.525
I 0.739 0.261 0.000
Rb 0.250 0.750 0.500
Ge 0.000 0.000 0.000
I 0.261 0.739 0.000
I 0.261 0.261 0.000
Be 0.500 0.500 0.000
I 0.739 0.739 0.000
Rb 0.750 0.250 0.500

Summary:
raw formation energy: -0.70 eV/atom
Fermi-level density of states: 0.0 states/eV/f.u.
magnetization: 0.0 μB/cell
space group: I4/mmm, No. 139
calculated density: 4.4 g/cm³

# 10
First-principles (GGA-PBE) data for Ho2Sn2Pd7 after structural relaxation, as listed in the Alexandria database.

a b c (Å): 5.749 7.230 5.749
angles (deg): 89.99 102.38 90.01
Fractional positions:
Pd 0.500 0.292 0.500
Pd 0.500 0.708 0.500
Pd 0.000 0.707 0.500
Pd 0.000 0.000 0.000
Sn 0.192 0.500 0.192
Pd 0.500 0.293 0.000
Sn 0.808 0.500 0.808
Pd 0.000 0.293 0.500
Pd 0.500 0.707 0.000
Ho 0.300 0.000 0.700
Ho 0.700 0.000 0.300

Summary:
Fermi-level density of states: 2.4 states/eV/f.u.
magnetization: 0.0 μB/cell
space group: Cmmm, No. 65
formation energy: -0.380 eV per atom
calculated density: 9.3 g/cm³

# 11
First-principles (GGA-PBE) data for Li6TlAg after structural relaxation, as listed in the Alexandria database.

a b c (Å): 4.961 4.961 6.886
angles (deg): 72.69 72.69 100.02
Fractional positions:
Ag 0.000 0.000 0.000
Li 0.247 0.247 0.506
Li 0.884 0.384 0.233
Li 0.616 0.116 0.767
Li 0.384 0.884 0.233
Tl 0.500 0.500 0.000
Li 0.753 0.753 0.494
Li 0.116 0.616 0.767

Summary:
Fermi-level density of states: 2.9 states/eV/f.u.
magnetization: 0.0 μB/cell
space group: Fmmm, No. 69
formation energy: -0.139 eV per atom
calculated density: 4.0 g/cm³

# 12
First-principles (GGA-PBE) data for ScMn2Pd after structural relaxation, as listed in the Alexandria database.

a b c (Å): 4.466 4.466 4.466
angles (deg): 60.00 60.00 60.00
Fractional positions:
Sc 0.000 0.000 0.000
Mn 0.750 0.750 0.750
Pd 0.500 0.500 0.500
Mn 0.250 0.250 0.250

Summary:
Fermi-level density of states: 5.3 states/eV/f.u.
magnetization: 6.6 μB/cell
space group: Fm-3m, No. 225
formation energy: -0.033 eV per atom
calculated density: 6.9 g/cm³

# 13
First-principles (GGA-PBE) data for In2Hg2S5 after structural relaxation, as listed in the Alexandria database.

a b c (Å): 4.086 6.890 9.777
angles (deg): 105.52 102.06 90.00
Fractional positions:
In 0.119 0.886 0.238
S 0.324 0.927 0.648
In 0.881 0.114 0.762
S 0.000 0.000 0.000
Hg 0.413 0.695 0.827
Hg 0.587 0.305 0.173
S 0.676 0.073 0.352
S 0.116 0.531 0.233
S 0.884 0.469 0.767

Summary:
raw formation energy: -0.22 eV/atom
Fermi-level density of states: 0.3 states/eV/f.u.
magnetization: 0.0 μB/cell
space group: C2/m, No. 12
calculated density: 5.1 g/cm³

# 14
First-principles (GGA-PBE) data for Hf12Pt5N2 after structural relaxation, as listed in the Alexandria database.

a b c (Å): 6.618 8.310 7.969
angles (deg): 104.65 90.00 113.47
Fractional positions:
N 0.263 0.000 0.000
Hf 0.500 0.999 0.193
Pt 0.708 0.416 0.360
Hf 0.602 0.686 0.911
Hf 0.500 0.001 0.807
Pt 0.292 0.584 0.640
Hf 0.104 0.712 0.436
Pt 0.310 0.620 0.160
Hf 0.916 0.314 0.089
N 0.737 0.000 0.000
Pt 0.000 0.000 0.500
Hf 0.392 0.288 0.564
Hf 0.896 0.288 0.564
Hf 0.996 0.992 0.175
Hf 0.084 0.686 0.911
Hf 0.398 0.314 0.089
Hf 0.608 0.712 0.436
Pt 0.690 0.380 0.840
Hf 0.004 0.008 0.825

Summary:
raw formation energy: -0.79 eV/atom
Fermi-level density of states: 16.2 states/eV/f.u.
magnetization: 0.0 μB/cell
space group: C2/m, No. 12
calculated density: 13.5 g/cm³

# 15
First-principles (GGA-PBE) data for K4Np3Te8Pd after structural relaxation, as listed in the Alexandria database.

a b c (Å): 8.774 9.700 9.068
angles (deg): 117.60 118.94 90.00
Fractional positions:
Te 0.792 0.314 0.032
Te 0.208 0.686 0.968
K 0.000 0.000 0.000
Np 0.500 0.500 0.000
Te 0.744 0.276 0.488
K 0.000 0.000 0.500
Np 0.000 0.500 0.500
K 0.500 0.000 0.500
Te 0.266 0.288 0.532
Te 0.734 0.712 0.468
Te 0.760 0.686 0.968
Te 0.256 0.724 0.512
Pd 0.000 0.500 0.000
Np 0.500 0.500 0.500
Te 0.240 0.314 0.032
K 0.500 0.000 0.000

Summary:
raw formation energy: -0.77 eV/atom
Fermi-level density of states: 25.3 states/eV/f.u.
magnetization: 11.0 μB/cell
space group: C2/m, No. 12
calculated density: 5.8 g/cm³

# 16
First-principles (GGA-PBE) data for Na3Tm3TeSe8 after structural relaxation, as listed in the Alexandria database.

a b c (Å): 8.164 8.166 8.490
angles (deg): 118.78 90.00 119.99
Fractional positions:
Se 0.258 0.516 0.275
Na 0.000 0.000 0.000
Tm 0.000 0.500 0.500
Se 0.241 0.481 0.725
Se 0.256 0.016 0.275
Se 0.241 0.984 0.725
Se 0.759 0.016 0.275
Tm 0.500 0.000 0.500
Se 0.744 0.984 0.725
Te 0.000 0.000 0.500
Tm 0.500 0.500 0.500
Na 0.000 0.500 0.000
Se 0.742 0.484 0.725
Se 0.759 0.519 0.275
Na 0.500 0.500 0.000

Summary:
raw formation energy: -1.36 eV/atom
Fermi-level density of states: 0.0 states/eV/f.u.
magnetization: 0.0 μB/cell
space group: R-3m, No. 166
calculated density: 5.4 g/cm³

# 17
First-principles (GGA-PBE) data for MgOs2F after structural relaxation, as listed in the Alexandria database.

a b c (Å): 4.299 4.299 4.299
angles (deg): 60.00 60.00 60.00
Fractional positions:
Mg 0.500 0.500 0.500
F 0.000 0.000 0.000
Os 0.250 0.250 0.250
Os 0.750 0.750 0.750

Summary:
raw formation energy: 1.05 eV/atom
Fermi-level density of states: 6.7 states/eV/f.u.
magnetization: 0.0 μB/cell
space group: Fm-3m, No. 225
calculated density: 12.5 g/cm³

# 18
First-principles (GGA-PBE) data for Y12Al7Si after structural relaxation, as listed in the Alexandria database.

a b c (Å): 11.250 11.250 11.250
angles (deg): 117.28 117.28 94.79
Fractional positions:
Y 0.837 0.701 0.264
Y 0.299 0.563 0.136
Y 0.799 0.663 0.736
Y 0.171 0.671 0.843
Y 0.147 0.647 0.500
Y 0.829 0.329 0.157
Al 0.118 0.975 0.500
Y 0.663 0.927 0.864
Y 0.927 0.063 0.264
Y 0.063 0.799 0.136
Y 0.563 0.427 0.264
Y 0.163 0.299 0.736
Y 0.701 0.437 0.864
Al 0.475 0.618 0.500
Y 0.073 0.937 0.736
Al 0.881 0.619 0.500
Y 0.671 0.829 0.500
Si 0.750 0.750 0.000
Y 0.353 0.853 0.500
Al 0.618 0.118 0.143
Y 0.853 0.353 0.500
Al 0.381 0.881 0.262
Al 0.000 0.000 0.000
Al 0.975 0.475 0.857
Si 0.250 0.250 0.000
Y 0.337 0.073 0.136
Y 0.437 0.573 0.736
Y 0.647 0.147 0.500
Y 0.573 0.837 0.136
Al 0.382 0.882 0.857
Al 0.619 0.119 0.738
Y 0.427 0.163 0.864
Y 0.937 0.201 0.864
Al 0.882 0.025 0.500
Al 0.500 0.500 0.000
Y 0.201 0.337 0.264
Al 0.119 0.381 0.500
Al 0.025 0.525 0.143
Y 0.329 0.171 0.500
Al 0.525 0.382 0.500

Summary:
raw formation energy: -0.42 eV/atom
Fermi-level density of states: 13.3 states/eV/f.u.
magnetization: 0.0 μB/cell
space group: I4/mcm, No. 140
calculated density: 4.1 g/cm³

# 19
First-principles (GGA-PBE) data for Nd8Er4Tm3 after structural relaxation, as listed in the Alexandria database.

a b c (Å): 6.867 9.161 9.161
angles (deg): 83.17 110.43 110.43
Fractional positions:
Er 0.000 0.500 0.000
Nd 0.500 0.246 0.754
Er 0.000 0.000 0.500
Nd 0.287 0.244 0.244
Nd 0.825 0.296 0.296
Nd 0.000 0.295 0.705
Nd 0.000 0.705 0.295
Nd 0.175 0.704 0.704
Nd 0.713 0.756 0.756
Er 0.000 0.000 0.000
Er 0.500 0.000 0.000
Tm 0.500 0.000 0.500
Tm 0.500 0.500 0.500
Nd 0.500 0.754 0.246
Tm 0.500 0.500 0.000

Summary:
Fermi-level density of states: 22.1 states/eV/f.u.
magnetization: 0.0 μB/cell
space group: C2/m, No. 12
formation energy: 0.342 eV per atom
calculated density: 7.6 g/cm³

# 20
First-principles (GGA-PBE) data for Ce5Pu2Ag2 after structural relaxation, as listed in the Alexandria database.

a b c (Å): 5.334 6.037 9.099
angles (deg): 122.65 107.04 90.00
Fractional positions:
Ag 0.427 0.215 0.854
Ce 0.632 0.364 0.264
Ce 0.368 0.636 0.736
Ag 0.573 0.785 0.146
Ce 0.182 0.804 0.363
Pu 0.810 0.744 0.619
Pu 0.190 0.256 0.381
Ce 0.818 0.196 0.637
Ce 0.000 0.000 0.000

Summary:
Fermi-level density of states: 19.0 states/eV/f.u.
magnetization: 11.4 μB/cell
space group: C2/m, No. 12
formation energy: 0.095 eV per atom
calculated density: 10.1 g/cm³

# 21
First-principles (GGA-PBE) data for EuSc2Ti after structural relaxation, as listed in the Alexandria database.

a b c (Å): 3.213 3.213 11.354
angles (deg): 81.87 81.87 60.00
Fractional positions:
Sc 0.903 0.903 0.291
Sc 0.097 0.097 0.709
Ti 0.500 0.500 0.500
Eu 0.000 0.000 0.000

Summary:
Fermi-level density of states: 6.5 states/eV/f.u.
magnetization: 7.6 μB/cell
space group: R-3m, No. 166
formation energy: 0.264 eV per atom
calculated density: 4.8 g/cm³